Entry 1:
Material: AcDyLuTh
Method: DFT, PBE-GGA
State: relaxed

Computed properties:
Calculated formation energy = 0.129 eV per atom

The structure in CIF format:
```
data_AcDyLuTh
_chemical_formula_sum 'Ac4 Dy4 Lu4 Th4'
_cell_length_a 8.1715
_cell_length_b 8.1715
_cell_length_c 8.1715
_cell_angle_alpha 90.00
_cell_angle_beta 90.00
_cell_angle_gamma 90.00
_symmetry_space_group_name_H-M 'F -4 3 m'
_symmetry_Int_Tables_number 216
_symmetry_space_group_name_Hall 'F -4 2 3'
loop_
_atom_site_label
_atom_site_type_symbol
_atom_site_fract_x
_atom_site_fract_y
_atom_site_fract_z
Ac1 Ac 0.0000 0.0000 0.0000
Dy1 Dy 0.2500 0.2500 0.7500
Lu1 Lu 0.2500 0.2500 0.2500
Th1 Th 0.0000 0.0000 0.5000
```



Entry 2:
Material: AcDyLuTl
Method: DFT, PBE-GGA
State: relaxed

Computed properties:
Calculated formation energy = 0.090 eV per atom

The structure in CIF format:
```
data_AcDyLuTl
_chemical_formula_sum 'Ac4 Dy4 Lu4 Tl4'
_cell_length_a 7.9188
_cell_length_b 7.9188
_cell_length_c 7.9188
_cell_angle_alpha 90.00
_cell_angle_beta 90.00
_cell_angle_gamma 90.00
_symmetry_space_group_name_H-M 'F -4 3 m'
_symmetry_Int_Tables_number 216
_symmetry_space_group_name_Hall 'F -4 2 3'
loop_
_atom_site_label
_atom_site_type_symbol
_atom_site_fract_x
_atom_site_fract_y
_atom_site_fract_z
Ac1 Ac 0.0000 0.0000 0.0000
Dy1 Dy 0.2500 0.2500 0.7500
Lu1 Lu 0.2500 0.2500 0.2500
Tl1 Tl 0.0000 0.0000 0.5000
```



Q: Which of these has the lowest calculated formation energy?
A: AcDyLuTl



Q: Which of these has the highest calculated formation energy?
A: AcDyLuTh



Q: calculated formation energy of number 1 (AcDyLuTh)?
A: 0.129 eV per atom